This record from the Alexandria database describes a relaxed OsPdCl2 crystal. The functional is PBEsol.

Space group   R-3m, No. 166
Uncorrected formation energy   0.42 eV per atom

Cell lengths 2.904, 2.904, 8.823 Å; angles 80.53, 80.53, 60.00 degrees
Fractional positions:
Os 0.000 0.000 0.000
Pd 0.500 0.500 0.500
Cl 0.915 0.915 0.256
Cl 0.085 0.085 0.744



This record from the Alexandria database describes a relaxed Ta2AlMo crystal. The functional is PBEsol.

Energy of formation   -0.150 eV/atom
Space group   P4/mmm, No. 123

Cell lengths 3.306, 3.306, 6.013 Å; angles 90.00, 90.00, 90.00 degrees
Fractional positions:
Mo 0.500 0.500 0.500
Al 0.500 0.500 0.000
Ta 0.000 0.000 0.744
Ta 0.000 0.000 0.256



This record from the Alexandria database describes a relaxed CrCdGa2O crystal. The functional is PBEsol.

Space group   P4/mmm, No. 123
Uncorrected formation energy   0.91 eV per atom

Cell lengths 4.725, 4.725, 5.106 Å; angles 90.00, 90.00, 90.00 degrees
Fractional positions:
Cr 0.000 0.000 0.000
O 0.500 0.500 0.500
Ga 0.000 0.500 0.000
Ga 0.500 0.000 0.000
Cd 0.000 0.000 0.500



This record from the Alexandria database describes a relaxed ZrPb2 crystal. The functional is PBEsol.

Energy of formation   -0.101 eV/atom
Space group   I4/mcm, No. 140

Cell lengths 5.971, 5.971, 5.971 Å; angles 104.99, 104.99, 118.86 degrees
Fractional positions:
Pb 0.314 0.814 0.127
Pb 0.686 0.186 0.873
Pb 0.814 0.686 0.500
Pb 0.186 0.314 0.500
Zr 0.250 0.250 0.000
Zr 0.750 0.750 0.000



This record from the Alexandria database describes a relaxed TcNi2W crystal. The functional is PBEsol.

Energy of formation   0.276 eV/atom
Space group   Fm-3m, No. 225

Cell lengths 4.149, 4.149, 4.149 Å; angles 60.00, 60.00, 60.00 degrees
Fractional positions:
Ni 0.250 0.250 0.250
Ni 0.750 0.750 0.750
Tc 0.000 0.000 0.000
W 0.500 0.500 0.500



This record from the Alexandria database describes a relaxed BaHg2Sb2 crystal. The functional is PBEsol.

Space group   I4/mmm, No. 139
Uncorrected formation energy   -0.44 eV per atom

Cell lengths 5.143, 5.143, 6.675 Å; angles 112.66, 112.66, 90.00 degrees
Fractional positions:
Sb 0.250 0.750 0.500
Sb 0.750 0.250 0.500
Hg 0.379 0.379 0.758
Hg 0.621 0.621 0.242
Ba 0.000 0.000 0.000